w.
Na2Mg5Tl12 | PBE | relaxed

Properties
- spin magnetization (μB per cell) = 0.0

a = 13.799 Å, b = 9.406 Å, c = 10.031 Å
α = 90.00°, β = 124.64°, γ = 90.00°
Space group C2/m (No. 12)
One atom of each set of equivalent atoms:
Na (0.000, 0.207, 0.000) [4 per cell]
Mg (0.000, 0.000, 0.500) [2 per cell]
Mg (0.214, 0.500, 0.300) [4 per cell]
Mg (0.243, 0.500, 0.825) [4 per cell]
Tl (0.059, 0.500, 0.891) [4 per cell]
Tl (0.111, 0.000, 0.310) [4 per cell]
Tl (0.124, 0.311, 0.487) [8 per cell]
Tl (0.155, 0.183, 0.826) [8 per cell]

=====

x.
Na2Mg5Tl12 | PBE | relaxed

Properties
- spin magnetization (μB per cell) = 0.0

a = 18.746 Å, b = 7.748 Å, c = 7.604 Å
α = 90.00°, β = 98.85°, γ = 90.00°
Space group C2/m (No. 12)
One atom of each set of equivalent atoms:
Na (0.000, 0.234, 0.000) [4 per cell]
Mg (0.000, 0.000, 0.500) [2 per cell]
Mg (0.154, 0.500, 0.082) [4 per cell]
Mg (0.237, 0.000, 0.535) [4 per cell]
Tl (0.057, 0.500, 0.708) [4 per cell]
Tl (0.106, 0.265, 0.389) [8 per cell]
Tl (0.119, 0.000, 0.832) [4 per cell]
Tl (0.236, 0.298, 0.792) [8 per cell]

=====

It is w that is the most stable of them.

=====

w.
NaMgTl2 | PBE | relaxed

Properties
- spin magnetization (μB per cell) = 0.0

a = 3.5426 Å, b = 3.5426 Å, c = 30.0877 Å
α = 90.00°, β = 90.00°, γ = 120.00°
Space group R3m (No. 160, hexagonal axes)
One atom of each set of equivalent atoms:
Na (0.0000, 0.0000, 0.0000) [3 per cell]
Mg (0.0000, 0.0000, 0.8335) [3 per cell]
Tl (0.0000, 0.0000, 0.4204) [3 per cell]
Tl (0.0000, 0.0000, 0.5798) [3 per cell]

=====

x.
NaMgTl2 | PBE | relaxed

Properties
- spin magnetization (μB per cell) = 0.0

a = 7.483 Å, b = 7.483 Å, c = 7.483 Å
α = 90.00°, β = 90.00°, γ = 90.00°
Space group Fm-3m (No. 225)
One atom of each set of equivalent atoms:
Na (0.000, 0.000, 0.000) [4 per cell]
Mg (0.000, 0.000, 0.500) [4 per cell]
Tl (0.250, 0.250, 0.250) [8 per cell]

=====

It is x that is the most stable of them.

=====

w.
NaMg2Tl8 | PBE | relaxed

Properties
- spin magnetization (μB per cell) = 0.0

a = 8.728 Å, b = 13.809 Å, c = 5.669 Å
α = 90.00°, β = 108.76°, γ = 90.00°
Space group C2/m (No. 12)
One atom of each set of equivalent atoms:
Na (0.000, 0.000, 0.000) [2 per cell]
Mg (0.000, 0.310, 0.500) [4 per cell]
Tl (0.000, 0.235, 0.000) [4 per cell]
Tl (0.110, 0.500, 0.815) [4 per cell]
Tl (0.202, 0.117, 0.614) [8 per cell]

=====

x.
NaMg2Tl8 | PBE | relaxed

Properties
- spin magnetization (μB per cell) = 0.0

a = 17.032 Å, b = 4.858 Å, c = 7.913 Å
α = 90.00°, β = 108.59°, γ = 90.00°
Space group C2/m (No. 12)
One atom of each set of equivalent atoms:
Na (0.000, 0.000, 0.000) [2 per cell]
Mg (0.229, 0.500, 0.642) [4 per cell]
Tl (0.049, 0.500, 0.732) [4 per cell]
Tl (0.101, 0.000, 0.470) [4 per cell]
Tl (0.143, 0.500, 0.204) [4 per cell]
Tl (0.182, 0.000, 0.922) [4 per cell]

=====

It is x that is the most stable of them.

=====

w.
NaMg3Tl3 | PBE | relaxed

Properties
- spin magnetization (μB per cell) = 0.0

a = 8.085 Å, b = 8.085 Å, c = 8.085 Å
α = 90.00°, β = 90.00°, γ = 90.00°
Space group Pm-3n (No. 223)
One atom of each set of equivalent atoms:
Na (0.000, 0.000, 0.000) [2 per cell]
Mg (0.000, 0.250, 0.500) [6 per cell]
Tl (0.000, 0.500, 0.250) [6 per cell]

=====

x.
NaMg3Tl3 | PBE | relaxed

Properties
- spin magnetization (μB per cell) = 0.0

a = 8.7373 Å, b = 8.7373 Å, c = 18.1352 Å
α = 90.00°, β = 90.00°, γ = 120.00°
Space group R-3 (No. 148, hexagonal axes)
One atom of each set of equivalent atoms:
Na (0.0000, 0.0000, 0.1654) [6 per cell]
Mg (0.0015, 0.3539, 0.6156) [18 per cell]
Tl (0.0017, 0.3017, 0.4445) [18 per cell]

=====

y.
NaMg3Tl3 | PBE | relaxed

Properties
- spin magnetization (μB per cell) = 0.0

a = 10.223 Å, b = 10.909 Å, c = 6.755 Å
α = 90.00°, β = 90.00°, γ = 90.00°
Space group Cmmm (No. 65)
One atom of each set of equivalent atoms:
Na (0.189, 0.000, 0.000) [4 per cell]
Mg (0.000, 0.163, 0.500) [4 per cell]
Mg (0.000, 0.265, 0.000) [4 per cell]
Mg (0.249, 0.500, 0.500) [4 per cell]
Tl (0.000, 0.500, 0.255) [4 per cell]
Tl (0.250, 0.250, 0.258) [8 per cell]

=====

It is y that is the most stable of them.

=====

w.
Na2MgTl3 | PBE | relaxed

Properties
- spin magnetization (μB per cell) = 0.0

a = 5.857 Å, b = 6.258 Å, c = 10.564 Å
α = 82.61°, β = 74.53°, γ = 63.70°
Space group P-1 (No. 2)
One atom of each set of equivalent atoms:
Na (0.000, 0.000, 0.000) [1 per cell]
Na (0.000, 0.000, 0.500) [1 per cell]
Na (0.337, 0.326, 0.001) [2 per cell]
Mg (0.333, 0.339, 0.500) [2 per cell]
Tl (0.164, 0.657, 0.258) [2 per cell]
Tl (0.180, 0.657, 0.743) [2 per cell]
Tl (0.495, 0.000, 0.739) [2 per cell]

=====

x.
Na2MgTl3 | PBE | relaxed

Properties
- spin magnetization (μB per cell) = 0.0

a = 5.131 Å, b = 15.391 Å, c = 8.165 Å
α = 90.00°, β = 90.00°, γ = 90.00°
Space group Cmmm (No. 65)
One atom of each set of equivalent atoms:
Na (0.000, 0.000, 0.000) [2 per cell]
Na (0.000, 0.000, 0.500) [2 per cell]
Na (0.000, 0.335, 0.000) [4 per cell]
Mg (0.000, 0.332, 0.500) [4 per cell]
Tl (0.000, 0.169, 0.263) [8 per cell]
Tl (0.000, 0.500, 0.263) [4 per cell]

=====

It is x that is the most stable of them.

=====

w.
Na5MgTl4 | PBE | relaxed

Properties
- spin magnetization (μB per cell) = 0.0

a = 16.754 Å, b = 5.281 Å, c = 6.744 Å
α = 90.00°, β = 109.42°, γ = 90.00°
Space group C2/m (No. 12)
One atom of each set of equivalent atoms:
Na (0.000, 0.000, 0.000) [2 per cell]
Na (0.114, 0.500, 0.918) [4 per cell]
Na (0.208, 0.000, 0.308) [4 per cell]
Mg (0.000, 0.000, 0.500) [2 per cell]
Tl (0.084, 0.500, 0.387) [4 per cell]
Tl (0.185, 0.000, 0.771) [4 per cell]

=====

x.
Na5MgTl4 | PBE | relaxed

Properties
- spin magnetization (μB per cell) = 0.0

a = 3.798 Å, b = 3.798 Å, c = 19.575 Å
α = 90.00°, β = 90.00°, γ = 90.00°
Space group P4/mmm (No. 123)
One atom of each set of equivalent atoms:
Na (0.000, 0.000, 0.000) [1 per cell]
Na (0.000, 0.000, 0.200) [2 per cell]
Na (0.000, 0.000, 0.398) [2 per cell]
Mg (0.500, 0.500, 0.500) [1 per cell]
Tl (0.500, 0.500, 0.100) [2 per cell]
Tl (0.500, 0.500, 0.303) [2 per cell]

=====

It is w that is the most stable of them.

=====

w.
Na2Mg3Tl2 | PBE | relaxed

Properties
- spin magnetization (μB per cell) = 0.0

a = 3.883 Å, b = 28.195 Å, c = 3.514 Å
α = 90.00°, β = 90.00°, γ = 90.00°
Space group Cmmm (No. 65)
One atom of each set of equivalent atoms:
Na (0.000, 0.195, 0.000) [4 per cell]
Mg (0.000, 0.061, 0.000) [4 per cell]
Mg (0.000, 0.500, 0.500) [2 per cell]
Tl (0.000, 0.378, 0.500) [4 per cell]

=====

x.
Na2Mg3Tl2 | PBE | relaxed

Properties
- spin magnetization (μB per cell) = 0.0

a = 11.092 Å, b = 4.855 Å, c = 7.660 Å
α = 90.00°, β = 111.28°, γ = 90.00°
Space group C2/m (No. 12)
One atom of each set of equivalent atoms:
Na (0.145, 0.000, 0.273) [4 per cell]
Mg (0.000, 0.500, 0.500) [2 per cell]
Mg (0.123, 0.500, 0.937) [4 per cell]
Tl (0.145, 0.000, 0.708) [4 per cell]

=====

It is w that is the most stable of them.

=====

w.
Na2MgTl4 | PBE | relaxed

Properties
- spin magnetization (μB per cell) = 0.0

a = 5.095 Å, b = 5.095 Å, c = 15.622 Å
α = 90.00°, β = 90.00°, γ = 90.00°
Space group I4/mmm (No. 139)
One atom of each set of equivalent atoms:
Na (0.000, 0.000, 0.247) [4 per cell]
Mg (0.000, 0.000, 0.000) [2 per cell]
Tl (0.000, 0.500, 0.108) [8 per cell]

=====

x.
Na2MgTl4 | PBE | relaxed

Properties
- spin magnetization (μB per cell) = 0.0

a = 6.335 Å, b = 14.435 Å, c = 5.275 Å
α = 90.00°, β = 90.00°, γ = 90.00°
Space group Cmmm (No. 65)
One atom of each set of equivalent atoms:
Na (0.000, 0.134, 0.000) [4 per cell]
Mg (0.000, 0.500, 0.500) [2 per cell]
Tl (0.000, 0.278, 0.500) [4 per cell]
Tl (0.000, 0.391, 0.000) [4 per cell]

=====

It is w that is the most stable of them.

=====

w.
NaMg3Tl4 | PBE | relaxed

Properties
- spin magnetization (μB per cell) = 0.0

a = 5.177 Å, b = 5.177 Å, c = 7.561 Å
α = 90.00°, β = 90.00°, γ = 90.00°
Space group P4/mmm (No. 123)
One atom of each set of equivalent atoms:
Na (0.000, 0.000, 0.000) [1 per cell]
Mg (0.000, 0.000, 0.500) [1 per cell]
Mg (0.500, 0.500, 0.000) [1 per cell]
Mg (0.500, 0.500, 0.500) [1 per cell]
Tl (0.000, 0.500, 0.256) [4 per cell]

=====

x.
NaMg3Tl4 | PBE | relaxed

Properties
- spin magnetization (μB per cell) = 0.0

a = 3.421 Å, b = 5.235 Å, c = 11.860 Å
α = 90.00°, β = 90.00°, γ = 90.00°
Space group Pmm2 (No. 25)
One atom of each set of equivalent atoms:
Na (0.000, 0.000, 0.000) [1 per cell]
Mg (0.000, 0.500, 0.826) [1 per cell]
Mg (0.500, 0.000, 0.499) [1 per cell]
Mg (0.500, 0.500, 0.328) [1 per cell]
Tl (0.000, 0.000, 0.272) [1 per cell]
Tl (0.000, 0.500, 0.562) [1 per cell]
Tl (0.500, 0.000, 0.756) [1 per cell]
Tl (0.500, 0.500, 0.069) [1 per cell]

=====

It is w that is the most stable of them.

=====

w.
NaMg2V | PBE | relaxed

Properties
- spin magnetization (μB per cell) = 15.5

a = 7.133 Å, b = 7.133 Å, c = 7.133 Å
α = 90.00°, β = 90.00°, γ = 90.00°
Space group Fm-3m (No. 225)
One atom of each set of equivalent atoms:
Na (0.000, 0.000, 0.000) [4 per cell]
Mg (0.250, 0.250, 0.250) [8 per cell]
V (0.000, 0.000, 0.500) [4 per cell]

=====

x.
NaMg2V | PBE | relaxed

Properties
- spin magnetization (μB per cell) = 14.9

a = 7.926 Å, b = 7.926 Å, c = 6.165 Å
α = 90.00°, β = 90.00°, γ = 90.00°
Space group I-42d (No. 122)
One atom of each set of equivalent atoms:
Na (0.000, 0.000, 0.000) [4 per cell]
Mg (0.239, 0.250, 0.625) [8 per cell]
V (0.000, 0.000, 0.500) [4 per cell]

=====

It is w that is the most stable of them.